First-principles (PBE) data for a relaxed Ni2GePd2 crystal, as listed in Alexandria via LeMat-Bulk.

It has space group P4/mmm (No. 123), with a = 4.590 Å, b = 4.590 Å, c = 4.299 Å, α = 90.00°, β = 90.00° and γ = 90.00°. The asymmetric unit holds Ni at (0.000, 0.000, 0.000), Ni at (0.500, 0.500, 0.000), Ge at (0.000, 0.000, 0.500) and Pd at (0.000, 0.500, 0.500).

The value obtained for the total energy is -4.6399 eV per atom. The density of states at the Fermi level comes out at 8.40 states/eV/cell. Its formation energy is 0.67 eV per atom.

---

First-principles (PBE) data for a relaxed Ni2Ge2Pd crystal, as listed in Alexandria via LeMat-Bulk.

It has space group Pm (No. 6), with a = 5.393 Å, b = 3.730 Å, c = 6.897 Å, α = 90.00°, β = 95.10° and γ = 90.00°. The asymmetric unit holds Ni at (0.000, 0.000, 0.000), Ni at (0.042, 0.500, 0.512), Ni at (0.333, 0.000, 0.676), Ni at (0.522, 0.500, 0.415), Ge at (0.212, 0.000, 0.331), Ge at (0.229, 0.500, 0.867), Ge at (0.763, 0.000, 0.572), Ge at (0.823, 0.500, 0.183), Pd at (0.501, 0.000, 0.075) and Pd at (0.709, 0.500, 0.806).

The value obtained for the total energy is -5.5159 eV per atom. The density of states at the Fermi level comes out at 5.65 states/eV/cell. Its formation energy is -0.32 eV per atom.

---

First-principles (PBE) data for a relaxed NiGePd crystal, as listed in Alexandria via LeMat-Bulk.

It has space group F-43m (No. 216), with a = 5.696 Å, b = 5.696 Å, c = 5.696 Å, α = 90.00°, β = 90.00° and γ = 90.00°. The asymmetric unit holds Ni at (0.000, 0.000, 0.000), Ge at (0.250, 0.250, 0.750) and Pd at (0.000, 0.000, 0.500).

The value obtained for the total energy is -5.4543 eV per atom. The density of states at the Fermi level comes out at 8.24 states/eV/cell. Its formation energy is -0.26 eV per atom.

---

What did we get for total magnetic moment? Answer: 0.6, 0.0, 0.0 μB/cell, in the order shown.